No. 1
# Ca2TaCu (PBE-GGA, optimized geometry)
# Calculated total energy (eV per formula unit): -16.70
# Formation energy (eV/f.u.): 3.249
data_Ca2TaCu
_chemical_formula_sum 'Ca2 Ta1 Cu1'
_symmetry_space_group_name_H-M 'P 1'
_symmetry_Int_Tables_number 1
_cell_length_a 5.748
_cell_length_b 5.748
_cell_length_c 5.748
_cell_angle_alpha 134.10
_cell_angle_beta 134.10
_cell_angle_gamma 66.93
loop_
_symmetry_equiv_pos_as_xyz
'x,y,z'
loop_
_atom_site_label
_atom_site_type_symbol
_atom_site_fract_x
_atom_site_fract_y
_atom_site_fract_z
Ca1 Ca 0.000 0.000 0.000
Ca2 Ca 0.750 0.250 0.500
Ta1 Ta 0.500 0.500 0.000
Cu1 Cu 0.250 0.750 0.500

=====

No. 2
# CaTcP (PBE-GGA, optimized geometry)
# Calculated total energy (eV per formula unit): -19.24
# Formation energy (eV/f.u.): -1.459
data_CaTcP
_chemical_formula_sum 'Ca1 Tc1 P1'
_symmetry_space_group_name_H-M 'P 1'
_symmetry_Int_Tables_number 1
_cell_length_a 3.961
_cell_length_b 3.961
_cell_length_c 4.577
_cell_angle_alpha 90.00
_cell_angle_beta 90.00
_cell_angle_gamma 120.00
loop_
_symmetry_equiv_pos_as_xyz
'x,y,z'
loop_
_atom_site_label
_atom_site_type_symbol
_atom_site_fract_x
_atom_site_fract_y
_atom_site_fract_z
Ca1 Ca 0.000 0.000 0.000
Tc1 Tc 0.333 0.667 0.500
P1 P 0.667 0.333 0.500

=====

No. 3
# GaSnPd5 (PBE-GGA, optimized geometry)
# Calculated total energy (eV per formula unit): -35.52
# Formation energy (eV/f.u.): -2.529
data_GaSnPd5
_chemical_formula_sum 'Ga2 Sn2 Pd10'
_symmetry_space_group_name_H-M 'P 1'
_symmetry_Int_Tables_number 1
_cell_length_a 6.360
_cell_length_b 6.360
_cell_length_c 6.884
_cell_angle_alpha 110.13
_cell_angle_beta 110.13
_cell_angle_gamma 94.63
loop_
_symmetry_equiv_pos_as_xyz
'x,y,z'
loop_
_atom_site_label
_atom_site_type_symbol
_atom_site_fract_x
_atom_site_fract_y
_atom_site_fract_z
Ga1 Ga 0.000 0.500 0.000
Ga2 Ga 0.500 0.000 0.500
Sn1 Sn 0.192 0.808 0.750
Sn2 Sn 0.808 0.192 0.250
Pd1 Pd 0.085 0.915 0.250
Pd2 Pd 0.182 0.351 0.641
Pd3 Pd 0.309 0.589 0.409
Pd4 Pd 0.351 0.182 0.141
Pd5 Pd 0.411 0.691 0.091
Pd6 Pd 0.589 0.309 0.909
Pd7 Pd 0.649 0.818 0.859
Pd8 Pd 0.691 0.411 0.591
Pd9 Pd 0.818 0.649 0.359
Pd10 Pd 0.915 0.085 0.750

=====

No. 4
# IrSF (PBE-GGA, optimized geometry)
# Formation energy without anion corrections (eV per atom): -0.64
# Calculated total energy (eV per formula unit): -16.77
data_IrSF
_chemical_formula_sum 'Ir4 S4 F4'
_symmetry_space_group_name_H-M 'P 1'
_symmetry_Int_Tables_number 1
_cell_length_a 6.085
_cell_length_b 3.347
_cell_length_c 10.454
_cell_angle_alpha 90.00
_cell_angle_beta 90.00
_cell_angle_gamma 90.00
loop_
_symmetry_equiv_pos_as_xyz
'x,y,z'
loop_
_atom_site_label
_atom_site_type_symbol
_atom_site_fract_x
_atom_site_fract_y
_atom_site_fract_z
Ir1 Ir 0.104 0.250 0.129
Ir2 Ir 0.396 0.750 0.629
Ir3 Ir 0.604 0.250 0.371
Ir4 Ir 0.896 0.750 0.871
S1 S 0.207 0.750 0.000
S2 S 0.293 0.250 0.500
S3 S 0.707 0.750 0.500
S4 S 0.793 0.250 0.000
F1 F 0.000 0.250 0.747
F2 F 0.000 0.750 0.253
F3 F 0.500 0.250 0.753
F4 F 0.500 0.750 0.247

=====

No. 5
# LiLaTl2 (PBE-GGA, optimized geometry)
# Calculated total energy (eV per formula unit): -13.00
# Formation energy (eV/f.u.): -1.430
data_LiLaTl2
_chemical_formula_sum 'Li1 La1 Tl2'
_symmetry_space_group_name_H-M 'P 1'
_symmetry_Int_Tables_number 1
_cell_length_a 5.365
_cell_length_b 5.365
_cell_length_c 5.365
_cell_angle_alpha 60.00
_cell_angle_beta 60.00
_cell_angle_gamma 60.00
loop_
_symmetry_equiv_pos_as_xyz
'x,y,z'
loop_
_atom_site_label
_atom_site_type_symbol
_atom_site_fract_x
_atom_site_fract_y
_atom_site_fract_z
Li1 Li 0.000 0.000 0.000
La1 La 0.500 0.500 0.500
Tl1 Tl 0.250 0.250 0.250
Tl2 Tl 0.750 0.750 0.750

=====

No. 6
# AcY2Ge (PBE-GGA, optimized geometry)
# Calculated total energy (eV per formula unit): -22.89
# Formation energy (eV/f.u.): -1.232
data_AcY2Ge
_chemical_formula_sum 'Ac1 Y2 Ge1'
_symmetry_space_group_name_H-M 'P 1'
_symmetry_Int_Tables_number 1
_cell_length_a 9.765
_cell_length_b 9.765
_cell_length_c 9.765
_cell_angle_alpha 24.19
_cell_angle_beta 24.19
_cell_angle_gamma 24.19
loop_
_symmetry_equiv_pos_as_xyz
'x,y,z'
loop_
_atom_site_label
_atom_site_type_symbol
_atom_site_fract_x
_atom_site_fract_y
_atom_site_fract_z
Ac1 Ac 0.000 0.000 0.000
Y1 Y 0.222 0.222 0.222
Y2 Y 0.778 0.778 0.778
Ge1 Ge 0.500 0.500 0.500

=====

No. 7
# FeCoPt2 (PBE-GGA, optimized geometry)
# Calculated total energy (eV per formula unit): -28.07
# Formation energy (eV/f.u.): -0.420
data_FeCoPt2
_chemical_formula_sum 'Fe1 Co1 Pt2'
_symmetry_space_group_name_H-M 'P 1'
_symmetry_Int_Tables_number 1
_cell_length_a 4.628
_cell_length_b 4.628
_cell_length_c 4.676
_cell_angle_alpha 100.14
_cell_angle_beta 100.14
_cell_angle_gamma 34.41
loop_
_symmetry_equiv_pos_as_xyz
'x,y,z'
loop_
_atom_site_label
_atom_site_type_symbol
_atom_site_fract_x
_atom_site_fract_y
_atom_site_fract_z
Fe1 Fe 0.000 0.000 0.000
Co1 Co 0.500 0.500 0.500
Pt1 Pt 0.249 0.249 0.748
Pt2 Pt 0.751 0.751 0.252

=====

No. 8
# LiTiSi2 (PBE-GGA, optimized geometry)
# Formation energy without anion corrections (eV per atom): -0.33
# Calculated total energy (eV per formula unit): -21.99
data_LiTiSi2
_chemical_formula_sum 'Li1 Ti1 Si2'
_symmetry_space_group_name_H-M 'P 1'
_symmetry_Int_Tables_number 1
_cell_length_a 3.817
_cell_length_b 3.817
_cell_length_c 3.757
_cell_angle_alpha 90.00
_cell_angle_beta 90.00
_cell_angle_gamma 90.00
loop_
_symmetry_equiv_pos_as_xyz
'x,y,z'
loop_
_atom_site_label
_atom_site_type_symbol
_atom_site_fract_x
_atom_site_fract_y
_atom_site_fract_z
Li1 Li 0.000 0.000 0.000
Ti1 Ti 0.500 0.500 0.000
Si1 Si 0.000 0.500 0.500
Si2 Si 0.500 0.000 0.500